The following is a PBE-GGA calculation of a geometry-optimized In3Hg5Pb4 structure, from the Alexandria database.

Calculated values
Its symmetry is No. 12. The value obtained for the final energy is -1.995 eV per atom. Its energy relative to the elements is 0.05 eV/atom.

Cell: 5.8204 6.5462 10.8907 Å, 73.75 90.00 116.40°
Last column: nearest neighbours and their distance in Å.
Fractional coordinates of all 12 atoms:
1 In 0.3649 0.7297 0.2867  5 Hg 3.08-3.28, 3 Pb 3.24-3.40
2 In 0.0000 0.0000 0.5000  6 Hg 2.91-3.05
3 In 0.6351 0.2703 0.7133  5 Hg 3.08-3.28, 3 Pb 3.24-3.40
4 Hg 0.8669 0.7337 0.7893  2 In 3.05-3.08, 2 Pb 3.38
5 Hg 0.5000 0.0000 0.5000  4 In 2.91-3.19, 2 Hg 3.06
6 Hg 0.2253 0.4506 0.5797  4 In 3.03-3.28, 3 Hg 3.06-3.35, 1 Pb 3.10
7 Hg 0.7747 0.5494 0.4203  4 In 3.03-3.28, 3 Hg 3.06-3.35, 1 Pb 3.10
8 Hg 0.1331 0.2663 0.2107  2 In 3.05-3.08, 2 Pb 3.38
9 Pb 0.1240 0.2481 0.8787  2 Hg 3.10-3.45, 2 Pb 3.26-3.30, 2 In 3.40
10 Pb 0.6192 0.2383 0.0575  1 In 3.24, 4 Pb 3.30-3.49, 3 Hg 3.38-3.42
11 Pb 0.3808 0.7617 0.9425  1 In 3.24, 4 Pb 3.30-3.49, 3 Hg 3.38-3.42
12 Pb 0.8760 0.7519 0.1213  2 Hg 3.10-3.45, 2 Pb 3.26-3.30, 2 In 3.40

---

The following is a PBE-GGA calculation of a geometry-optimized Al4CoPb structure, from the Alexandria database.

Calculated values
Its symmetry is No. 216. The value obtained for the final energy is -3.928 eV per atom. Its energy relative to the elements is 0.37 eV/atom.

Cell: 5.3794 5.3794 5.3794 Å, 60.00 60.00 60.00°
Last column: nearest neighbours and their distance in Å.
Fractional coordinates of all 6 atoms:
1 Al 0.8714 0.3762 0.3762  6 Al 2.66-2.72
2 Al 0.3762 0.3762 0.8714  6 Al 2.66-2.72
3 Al 0.3762 0.8714 0.3762  6 Al 2.66-2.72
4 Al 0.3762 0.3762 0.3762  6 Al 2.66-2.72
5 Co 0.7500 0.7500 0.7500  12 Al 3.15, 4 Pb 3.29
6 Pb 0.0000 0.0000 0.0000  12 Al 3.16, 4 Co 3.29

---

The following is a PBE-GGA calculation of a geometry-optimized LaAl2Re structure, from the Alexandria database.

Calculated values
Its symmetry is No. 12. The value obtained for the final energy is -6.337 eV per atom. Its energy relative to the elements is -0.12 eV/atom. The energy above the most stable polymorph in this dataset comes out at 1.18 kcal/mol of atoms.

Cell: 4.6571 4.6571 5.6587 Å, 73.48 73.48 47.72°
Last column: nearest neighbours and their distance in Å.
Fractional coordinates of all 4 atoms:
1 Re 0.2500 0.2500 0.2500  6 Al 2.60-2.73
2 Al 0.9698 0.9698 0.1129  2 Al 2.59, 3 Re 2.60-2.73
3 Al 0.5302 0.5302 0.3871  2 Al 2.59, 3 Re 2.60-2.73
4 La 0.7500 0.7500 0.7500  8 Al 3.18-3.51, 4 Re 3.40

---

The following is a PBE-GGA calculation of a geometry-optimized DyInPt4 structure, from the Alexandria database.

Calculated values
Its symmetry is No. 216. The value obtained for the final energy is -6.069 eV per atom. Its energy relative to the elements is -0.82 eV/atom.

Cell: 5.4036 5.4038 5.4038 Å, 59.99 60.00 60.00°
Last column: nearest neighbours and their distance in Å.
Fractional coordinates of all 6 atoms:
1 In 0.2500 0.2500 0.2500  12 Pt 3.17, 4 Dy 3.31
2 Pt 0.1262 0.6247 0.6247  6 Pt 2.69-2.71
3 Pt 0.6245 0.1262 0.6246  6 Pt 2.69-2.71
4 Pt 0.6247 0.6245 0.6245  6 Pt 2.69-2.71
5 Pt 0.6245 0.6246 0.1262  6 Pt 2.69-2.71
6 Dy 0.0000 0.0000 0.0000  12 Pt 3.17, 4 In 3.31

---

The following is a PBE-GGA calculation of a geometry-optimized AlFe2W2 structure, from the Alexandria database.

Calculated values
Its symmetry is No. 139. The value obtained for the final energy is -8.973 eV per atom. Its energy relative to the elements is 0.34 eV/atom. The energy above the most stable polymorph in this dataset comes out at 5.20 kcal/mol of atoms.

Cell: 4.0551 4.0551 5.5072 Å, 68.40 68.40 90.00°
Last column: nearest neighbours and their distance in Å.
Fractional coordinates of all 5 atoms:
1 Fe 0.3874 0.3874 0.2252  1 Fe 2.12
2 Fe 0.6126 0.6126 0.7748  1 Fe 2.12
3 W 0.7500 0.2500 0.5000  4 Fe 2.40
4 W 0.2500 0.7500 0.5000  4 Fe 2.40
5 Al 0.0000 0.0000 0.0000  8 Fe 3.06, 8 W 3.10

---

The following is a PBE-GGA calculation of a geometry-optimized MnNi2Au4 structure, from the Alexandria database.

Calculated values
Its symmetry is No. 69. The value obtained for the final energy is -4.492 eV per atom. Its energy relative to the elements is 0.34 eV/atom.

Cell: 5.0414 5.0414 6.0544 Å, 104.46 104.46 113.66°
Last column: nearest neighbours and their distance in Å.
Fractional coordinates of all 7 atoms:
1 Mn 0.0000 0.0000 0.0000  4 Au 2.52
2 Ni 0.6147 0.6147 0.2291  1 Ni 2.47
3 Ni 0.3853 0.3853 0.7709  1 Ni 2.47
4 Au 0.7500 0.2500 0.5000  4 Au 2.69-2.76, 4 Ni 2.91
5 Au 0.2500 0.7500 0.5000  4 Au 2.69-2.76, 4 Ni 2.91
6 Au 0.5000 0.0000 0.0000  2 Mn 2.52, 4 Au 2.69-2.76, 4 Ni 2.81
7 Au 0.0000 0.5000 0.0000  2 Mn 2.52, 4 Au 2.69-2.76, 4 Ni 2.81

---

The following is a PBE-GGA calculation of a geometry-optimized GaSiC2 structure, from the Alexandria database.

Calculated values
Its symmetry is No. 122. The value obtained for the final energy is -6.331 eV per atom. The uncorrected formation energy is 0.3933 eV per atom. The energy above the most stable polymorph in this dataset comes out at 0.00 kcal/mol of atoms.

Cell: 4.5479 4.5479 5.5324 Å, 65.73 65.73 90.00°
Last column: nearest neighbours and their distance in Å.
Fractional coordinates of all 8 atoms:
1 Si 0.5000 0.5000 0.0000  4 C 1.89
2 Si 0.2500 0.7500 0.5000  4 C 1.89
3 C 0.5964 0.1250 0.2500  2 Si 1.89, 2 Ga 2.04
4 C 0.1536 0.6250 0.2500  2 Si 1.89, 2 Ga 2.04
5 C 0.3750 0.4036 0.7500  2 Si 1.89, 2 Ga 2.04
6 C 0.8750 0.8464 0.7500  2 Si 1.89, 2 Ga 2.04
7 Ga 0.0000 0.0000 0.0000  4 C 2.04
8 Ga 0.7500 0.2500 0.5000  4 C 2.04

---

The following is a PBE-GGA calculation of a geometry-optimized Nb3AlV structure, from the Alexandria database.

Calculated values
Its symmetry is No. 221. The value obtained for the final energy is -7.301 eV per atom. Its energy relative to the elements is 1.31 eV/atom. The energy above the most stable polymorph in this dataset comes out at 10.83 kcal/mol of atoms.

Cell: 4.7167 4.7167 4.7167 Å, 90.00 90.00 90.00°
Last column: nearest neighbours and their distance in Å.
Fractional coordinates of all 5 atoms:
1 Nb 0.0000 0.5000 0.0000  2 Al 2.36
2 Nb 0.0000 0.0000 0.5000  2 Al 2.36
3 Nb 0.5000 0.0000 0.0000  2 Al 2.36
4 Al 0.0000 0.0000 0.0000  6 Nb 2.36
5 V 0.5000 0.5000 0.5000  12 Nb 3.34

---

The following is a PBE-GGA calculation of a geometry-optimized TbPrEr2Sc4 structure, from the Alexandria database.

Calculated values
Its symmetry is No. 74. The value obtained for the final energy is -5.044 eV per atom. Its energy relative to the elements is 0.44 eV/atom.

Cell: 9.0957 9.0957 11.2966 Å, 128.39 128.39 88.31°
Last column: nearest neighbours and their distance in Å.
Fractional coordinates of all 16 atoms:
1 Tb 0.0000 0.5000 0.0000  6 Sc 3.18-3.26, 2 Er 3.27
2 Tb 0.0000 0.5000 0.5000  6 Sc 3.18-3.26, 2 Er 3.27
3 Pr 0.5000 0.5000 0.5000  6 Sc 3.21-3.30, 2 Pr 3.27
4 Pr 0.0000 0.0000 0.0000  6 Sc 3.21-3.30, 2 Pr 3.27
5 Er 0.5000 0.0000 0.0000  6 Sc 3.15-3.26, 2 Tb 3.27
6 Er 0.5000 0.0000 0.5000  6 Sc 3.15-3.26, 2 Tb 3.27
7 Er 0.0000 0.0000 0.5000  6 Sc 3.13-3.23, 2 Er 3.27
8 Er 0.5000 0.5000 0.0000  6 Sc 3.13-3.23, 2 Er 3.27
9 Sc 0.2537 0.7471 0.0004  3 Er 3.13-3.26, 1 Pr 3.21, 2 Sc 3.26-3.27, 2 Tb 3.26
10 Sc 0.7529 0.2463 0.4996  3 Er 3.13-3.26, 1 Pr 3.21, 2 Sc 3.26-3.27, 2 Tb 3.26
11 Sc 0.2471 0.7537 0.5004  3 Er 3.13-3.26, 1 Pr 3.21, 2 Sc 3.26-3.27, 2 Tb 3.26
12 Sc 0.7463 0.2529 0.9996  3 Er 3.13-3.26, 1 Pr 3.21, 2 Sc 3.26-3.27, 2 Tb 3.26
13 Sc 0.7494 0.7515 0.0040  3 Er 3.15-3.23, 1 Tb 3.18, 2 Sc 3.27, 2 Pr 3.30
14 Sc 0.7485 0.7506 0.4960  3 Er 3.15-3.23, 1 Tb 3.18, 2 Sc 3.27, 2 Pr 3.30
15 Sc 0.2515 0.2494 0.5040  3 Er 3.15-3.23, 1 Tb 3.18, 2 Sc 3.27, 2 Pr 3.30
16 Sc 0.2506 0.2485 0.9960  3 Er 3.15-3.23, 1 Tb 3.18, 2 Sc 3.27, 2 Pr 3.30

---

The following is a PBE-GGA calculation of a geometry-optimized LaVSe2N structure, from the Alexandria database.

Calculated values
Its symmetry is No. 123. The value obtained for the final energy is -5.418 eV per atom. The uncorrected formation energy is 0.4502 eV per atom. The energy above the most stable polymorph in this dataset comes out at 33.57 kcal/mol of atoms.

Cell: 5.7757 5.7757 4.2124 Å, 90.00 90.00 90.00°
Last column: nearest neighbours and their distance in Å.
Fractional coordinates of all 5 atoms:
1 N 0.0000 0.0000 0.5000  2 La 2.11
2 V 0.5000 0.5000 0.5000  8 Se 3.57
3 Se 0.0000 0.5000 0.0000  2 La 2.89
4 Se 0.5000 0.0000 0.0000  2 La 2.89
5 La 0.0000 0.0000 0.0000  2 N 2.11

---

The following is a PBE-GGA calculation of a geometry-optimized FeCu2W structure, from the Alexandria database.

Calculated values
Its symmetry is No. 123. The value obtained for the final energy is -7.114 eV per atom. Its energy relative to the elements is 0.29 eV/atom. The energy above the most stable polymorph in this dataset comes out at 1.89 kcal/mol of atoms.

Cell: 2.6392 2.6392 7.5533 Å, 90.00 90.00 89.97°
Last column: nearest neighbours and their distance in Å.
Fractional coordinates of all 4 atoms:
1 Cu 0.0000 0.0000 0.0153  4 Fe 2.57, 4 Cu 2.64, 4 W 2.74
2 Cu 0.0000 0.0000 0.4847  4 Fe 2.57, 4 Cu 2.64, 4 W 2.74
3 Fe 0.5000 0.5000 0.2500  8 Cu 2.57, 4 Fe 2.64
4 W 0.5000 0.5000 0.7500  4 W 2.64, 8 Cu 2.74

---

The following is a PBE-GGA calculation of a geometry-optimized H2RhSe structure, from the Alexandria database.

Calculated values
Its symmetry is No. 122. The value obtained for the final energy is -4.081 eV per atom. The energy above the most stable polymorph in this dataset comes out at 0.00 kcal/mol of atoms.

Cell: 3.7760 3.7760 6.6006 Å, 73.38 73.38 90.00°
Last column: nearest neighbours and their distance in Å.
Fractional coordinates of all 8 atoms:
1 H 0.8715 0.1250 0.2500  2 Rh 1.78, 2 H 1.89
2 H 0.8785 0.6250 0.2500  2 Rh 1.78, 2 H 1.89
3 H 0.3750 0.1285 0.7500  2 Rh 1.78, 2 H 1.89
4 H 0.8750 0.1215 0.7500  2 Rh 1.78, 2 H 1.89
5 Rh 0.0000 0.0000 0.0000  4 H 1.78
6 Rh 0.7500 0.2500 0.5000  4 H 1.78
7 Se 0.5000 0.5000 0.0000  8 H 2.59-2.60, 4 Rh 2.67
8 Se 0.2500 0.7500 0.5000  8 H 2.59-2.60, 4 Rh 2.67

---

What is the final energy in the tenth record? -5.418 eV per atom

---

Look up the final energy of the fifth one. -8.973 eV per atom

---

Which value of final energy does entry 2 give? -3.928 eV per atom